# 1
Material: Tb3Pm3TlHg2
Method: DFT, GGA-PBE
State: optimized geometry

The structure belongs to space group P-62m (No. 189); the cell edges are 8.9335, 8.9335 and 3.8448 Å and the angles 90.00°, 90.00° and 120.00°. The distinct sites, in fractional coordinates, are Tb at (0.0000, 0.3845, 0.0000), Pm at (0.0000, 0.7109, 0.5000), Tl at (0.0000, 0.0000, 0.0000) and Hg at (0.3333, 0.6667, 0.5000).

The calculation puts the calculated volume at 29.5 Å³ per atom. As for the calculated formation energy: -242 meV/atom. For the density of states at the Fermi level, the calculation gives 12.26 states/eV per cell.

# 2
Material: Tb2PmTmHg4
Method: DFT, GGA-PBE
State: optimized geometry

The structure belongs to space group R-3m (No. 166, hexagonal axes); the cell edges are 5.2817, 5.2817 and 26.0359 Å and the angles 90.00°, 90.00° and 120.00°. The distinct sites, in fractional coordinates, are Tb at (0.0000, 0.0000, 0.2492), Pm at (0.0000, 0.0000, 0.0000), Tm at (0.0000, 0.0000, 0.5000), Hg at (0.0000, 0.0000, 0.1268) and Hg at (0.0000, 0.0000, 0.3776).

The calculation puts the calculated volume at 26.2 Å³ per atom. As for the calculated formation energy: -472 meV/atom. For the density of states at the Fermi level, the calculation gives 26.33 states/eV per cell.